Ba2Tl6Hg3 | GGA-PBE | relaxed

Total moment: 0.00 μB/atom
Energy of formation from the pure elements: -236 meV per atom
Volume: 33.45 Å³/atom

Lattice parameters (Å, degrees): 9.3569 9.3569 4.8524 90.00 90.00 120.00
Space group P-62m (No. 189)
One atom of each set of equivalent atoms:
Ba  0.3333  0.6667  0.0000 x2
Tl  0.0000  0.2759  0.5000 x3
Tl  0.0000  0.8004  0.0000 x3
Hg  0.0000  0.5980  0.5000 x3

=====

Pa2Ga3Pt | GGA-PBE | relaxed

Energy above the most stable polymorph in this dataset: 0.028 eV/atom
Total moment: 0.00 μB/atom
Energy of formation from the pure elements: -572 meV per atom
Volume: 19.74 Å³/atom

Lattice parameters (Å, degrees): 6.5218 9.1466 15.8862 90.00 90.00 90.00
Space group Fmmm (No. 69)
One atom of each set of equivalent atoms:
Pa  0.2393  0.0000  0.0000 x8
Pa  0.2500  0.2500  0.2500 x8
Ga  0.0000  0.0000  0.3327 x8
Ga  0.0000  0.2488  0.4167 x16
Pt  0.0000  0.0000  0.1664 x8

=====

AlSb2BrF | GGA-PBE | relaxed

Total energy: -3.05 eV/atom
Total moment: 0.00 μB/atom
Volume: 28.03 Å³/atom

Lattice parameters (Å, degrees): 5.2647 5.2647 5.0565 90.00 90.00 90.00
Space group P4/mmm (No. 123)
One atom of each set of equivalent atoms:
Al  0.0000  0.0000  0.0000 x1
Sb  0.0000  0.5000  0.0000 x2
Br  0.0000  0.0000  0.5000 x1
F  0.5000  0.5000  0.5000 x1

=====

Ti3AuN | GGA-PBE | relaxed

Total energy: -7.13 eV/atom
Total moment: 0.00 μB/atom
Volume: 17.77 Å³/atom

Lattice parameters (Å, degrees): 7.6215 7.6215 5.2977 90.00 90.00 120.00
Space group R3m (No. 160, hexagonal axes)
One atom of each set of equivalent atoms:
Ti  0.2018  0.4036  0.0000 x9
Au  0.0000  0.0000  0.8669 x3
N  0.0000  0.0000  0.4695 x3

=====

Ba2CdI2 | GGA-PBE | relaxed

Energy above the most stable polymorph in this dataset: 0.000 eV/atom
Total moment: 0.00 μB/atom
Volume: 43.68 Å³/atom

Lattice parameters (Å, degrees): 9.4165 9.4165 4.9266 90.00 90.00 90.00
Space group P4/mbm (No. 127)
One atom of each set of equivalent atoms:
Ba  0.1649  0.3351  0.0000 x4
Cd  0.0000  0.0000  0.0000 x2
I  0.1423  0.6423  0.5000 x4

=====

Na2AgSn2 | GGA-PBE | relaxed

Energy above the most stable polymorph in this dataset: 0.300 eV/atom
Total moment: 0.00 μB/atom
Energy of formation from the pure elements: 142 meV per atom
Volume: 26.31 Å³/atom

Lattice parameters (Å, degrees): 4.1882 4.1882 14.9998 90.00 90.00 90.00
Space group I4/mmm (No. 139)
One atom of each set of equivalent atoms:
Na  0.0000  0.5000  0.2500 x4
Ag  0.0000  0.0000  0.0000 x2
Sn  0.0000  0.0000  0.4082 x4

=====

ZrSc2GaH | GGA-PBE | relaxed

Total energy: -5.94 eV/atom
Total moment: 0.00 μB/atom
Volume: 16.76 Å³/atom

Lattice parameters (Å, degrees): 4.3812 4.3812 4.3671 90.00 90.00 90.00
Space group P4/mmm (No. 123)
One atom of each set of equivalent atoms:
Zr  0.0000  0.0000  0.0000 x1
Sc  0.0000  0.5000  0.5000 x2
Ga  0.5000  0.5000  0.0000 x1
H  0.0000  0.0000  0.5000 x1

=====

Pm2DySn2 | GGA-PBE | relaxed

Energy above the most stable polymorph in this dataset: 0.076 eV/atom
Total moment: 0.00 μB/atom
Energy of formation from the pure elements: -635 meV per atom
Volume: 30.55 Å³/atom

Lattice parameters (Å, degrees): 5.0618 18.4169 6.5541 90.00 90.00 90.00
Space group Cmc2_1 (No. 36)
One atom of each set of equivalent atoms:
Pm  0.0000  0.0002  0.0000 x4
Pm  0.0000  0.1928  0.2510 x4
Dy  0.0000  0.3968  0.2496 x4
Sn  0.0000  0.1902  0.7511 x4
Sn  0.0000  0.4243  0.7499 x4

=====

TlSiIr2 | GGA-PBE | relaxed

Energy above the most stable polymorph in this dataset: 0.486 eV/atom
Total moment: 0.00 μB/atom
Volume: 16.08 Å³/atom

Lattice parameters (Å, degrees): 4.2400 4.2400 3.5774 90.00 90.00 90.00
Space group P4/mmm (No. 123)
One atom of each set of equivalent atoms:
Tl  0.0000  0.0000  0.0000 x1
Si  0.5000  0.5000  0.0000 x1
Ir  0.0000  0.5000  0.5000 x2

=====

LiCaThGa | GGA-PBE | relaxed

Total moment: 0.00 μB/atom
Energy of formation from the pure elements: -121 meV per atom
Volume: 25.35 Å³/atom

Lattice parameters (Å, degrees): 7.4022 7.4022 7.4022 90.00 90.00 90.00
Space group F-43m (No. 216)
One atom of each set of equivalent atoms:
Li  0.0000  0.0000  0.0000 x4
Ca  0.2500  0.2500  0.7500 x4
Th  0.2500  0.2500  0.2500 x4
Ga  0.0000  0.0000  0.5000 x4

=====

Ag2SeN | GGA-PBE | relaxed

Energy above the most stable polymorph in this dataset: 0.246 eV/atom
Total moment: 0.49 μB/atom
Volume: 16.63 Å³/atom

Lattice parameters (Å, degrees): 6.4320 6.4320 6.4320 90.00 90.00 90.00
Space group Fm-3m (No. 225)
One atom of each set of equivalent atoms:
Ag  0.2500  0.2500  0.2500 x8
Se  0.0000  0.0000  0.0000 x4
N  0.0000  0.0000  0.5000 x4

=====

Sc2NbCo5B2 | GGA-PBE | relaxed

Total moment: 0.00 μB/atom
Energy of formation from the pure elements: -480 meV per atom
Volume: 11.81 Å³/atom

Lattice parameters (Å, degrees): 8.7701 8.7701 3.0722 90.00 90.00 90.00
Space group P4/mbm (No. 127)
One atom of each set of equivalent atoms:
Sc  0.1742  0.3258  0.0000 x4
Nb  0.0000  0.0000  0.0000 x2
Co  0.0000  0.5000  0.5000 x2
Co  0.0701  0.7756  0.5000 x8
B  0.1188  0.6188  0.0000 x4

=====

FeAs2SeCl | GGA-PBE | relaxed

Energy above the most stable polymorph in this dataset: 0.991 eV/atom
Total moment: 0.68 μB/atom
Volume: 23.38 Å³/atom

Lattice parameters (Å, degrees): 4.7903 4.7903 5.0949 90.00 90.00 90.00
Space group P4/mmm (No. 123)
One atom of each set of equivalent atoms:
Fe  0.0000  0.0000  0.0000 x1
As  0.0000  0.5000  0.5000 x2
Se  0.5000  0.5000  0.0000 x1
Cl  0.5000  0.5000  0.5000 x1

=====

Nd6Co2CCl3 | GGA-PBE | relaxed

Total energy: -5.65 eV/atom
Total moment: 0.00 μB/atom
Volume: 24.70 Å³/atom

Lattice parameters (Å, degrees): 18.9427 3.8681 8.6724 90.00 111.12 90.00
Space group C2/m (No. 12)
One atom of each set of equivalent atoms:
Nd  0.0108  0.0000  0.2130 x4
Nd  0.1489  0.5000  0.1177 x4
Nd  0.1725  0.5000  0.5662 x4
Co  0.1681  0.0000  0.3470 x4
C  0.0000  0.5000  0.0000 x2
Cl  0.0000  0.5000  0.5000 x2
Cl  0.1601  0.0000  0.8444 x4

=====

Sr2TaCr | GGA-PBE | relaxed

Energy above the most stable polymorph in this dataset: 0.637 eV/atom
Total moment: 1.37 μB/atom
Energy of formation from the pure elements: 1220 meV per atom
Volume: 29.39 Å³/atom

Lattice parameters (Å, degrees): 5.9021 5.9021 3.3753 90.00 90.00 90.00
Space group P4/mmm (No. 123)
One atom of each set of equivalent atoms:
Sr  0.0000  0.5000  0.0000 x2
Ta  0.0000  0.0000  0.5000 x1
Cr  0.5000  0.5000  0.5000 x1

=====

Pm4TeRu | GGA-PBE | relaxed

Total energy: -5.79 eV/atom
Total moment: 0.00 μB/atom
Volume: 30.23 Å³/atom

Lattice parameters (Å, degrees): 9.2818 14.0164 6.4406 90.00 120.00 90.00
Space group C2/c (No. 15)
One atom of each set of equivalent atoms:
Pm  0.1161  0.1807  0.0904 x8
Pm  0.2292  0.4396  0.3084 x8
Te  0.0000  0.3704  0.7500 x4
Ru  0.0000  0.0021  0.2500 x4

=====

AcCdRh | GGA-PBE | relaxed

Energy above the most stable polymorph in this dataset: 0.061 eV/atom
Total moment: 0.00 μB/atom
Energy of formation from the pure elements: -451 meV per atom
Volume: 26.72 Å³/atom

Lattice parameters (Å, degrees): 8.7153 8.7153 4.2208 90.00 90.00 90.00
Space group P4_2/m (No. 84)
One atom of each set of equivalent atoms:
Ac  0.0783  0.7024  0.0000 x4
Cd  0.3484  0.3937  0.0000 x4
Rh  0.1421  0.4368  0.5000 x4

=====

K4PdRh3O8 | GGA-PBE | relaxed

Total energy: -5.43 eV/atom
Total moment: 0.06 μB/atom
Volume: 13.38 Å³/atom

Lattice parameters (Å, degrees): 11.5145 6.4633 6.8739 90.00 123.15 90.00
Space group C2/m (No. 12)
One atom of each set of equivalent atoms:
K  0.0000  0.0000  0.0000 x2
K  0.0000  0.5000  0.0000 x2
K  0.2500  0.2500  0.0000 x4
Pd  0.0000  0.0000  0.5000 x2
Rh  0.0000  0.5000  0.5000 x2
Rh  0.2500  0.2500  0.5000 x4
O  0.0327  0.2478  0.3368 x8
O  0.2207  0.5000  0.6680 x4
O  0.2428  0.0000  0.6853 x4

=====

CePr3Os | GGA-PBE | relaxed

Total moment: 0.46 μB/atom
Energy of formation from the pure elements: 244 meV per atom
Volume: 36.37 Å³/atom

Lattice parameters (Å, degrees): 5.6654 5.6654 5.6654 90.00 90.00 90.00
Space group Pm-3m (No. 221)
One atom of each set of equivalent atoms:
Ce  0.0000  0.0000  0.0000 x1
Pr  0.0000  0.5000  0.5000 x3
Os  0.5000  0.5000  0.5000 x1

=====

NaDyCd4 | GGA-PBE | relaxed

Energy above the most stable polymorph in this dataset: 0.000 eV/atom
Total moment: 0.00 μB/atom
Energy of formation from the pure elements: -147 meV per atom
Volume: 24.48 Å³/atom

Lattice parameters (Å, degrees): 10.6220 3.5293 8.6209 90.00 114.62 90.00
Space group C2/m (No. 12)
One atom of each set of equivalent atoms:
Na  0.0000  0.0000  0.0000 x2
Dy  0.0000  0.0000  0.5000 x2
Cd  0.1676  0.5000  0.3327 x4
Cd  0.1721  0.5000  0.8370 x4